[1]
First-principles (PBE) data for crystalline CuSClO4 at its relaxed geometry, as listed in Alexandria.

Properties
raw formation energy: -0.778 eV per atom
symmetry: C2/m, No. 12
theoretical density: 2976 kg/m³

abc: 7.744 7.744 5.431
angles: 69.12 69.12 46.50
Sites, in units of the cell vectors:
Cu (0.154, 0.154, 0.841)
Cu (0.846, 0.846, 0.159)
S (0.643, 0.643, 0.720)
S (0.357, 0.357, 0.280)
Cl (0.021, 0.021, 0.248)
Cl (0.979, 0.979, 0.752)
O (0.292, 0.292, 0.574)
O (0.708, 0.708, 0.426)
O (0.142, 0.519, 0.140)
O (0.460, 0.460, 0.266)
O (0.481, 0.858, 0.860)
O (0.519, 0.142, 0.140)
O (0.540, 0.540, 0.734)
O (0.858, 0.481, 0.860)

***

[2]
First-principles (PBE) data for crystalline CuSCl2O at its relaxed geometry, as listed in Alexandria.

Properties
raw formation energy: 0.790 eV per atom
symmetry: P4/mmm, No. 123
theoretical density: 3588 kg/m³
distance to the lowest polymorph of the same formula: 44.5 meV per atom

abc: 4.594 4.594 4.003
angles: 90.00 90.00 90.00
Sites, in units of the cell vectors:
S (0.000, 0.000, 0.500)
O (0.000, 0.000, 0.000)
Cu (0.500, 0.500, 0.500)
Cl (0.000, 0.500, 0.000)
Cl (0.500, 0.000, 0.000)

***

[3]
First-principles (PBE) data for crystalline CuSClO at its relaxed geometry, as listed in Alexandria.

Properties
raw formation energy: 0.495 eV per atom
symmetry: P4/nmm, No. 129
theoretical density: 3549 kg/m³
distance to the lowest polymorph of the same formula: 1071.1 meV per atom

abc: 4.166 4.166 7.928
angles: 90.00 90.00 90.00
Sites, in units of the cell vectors:
S (0.000, 0.500, 0.629)
S (0.500, 0.000, 0.371)
O (0.000, 0.000, 0.000)
O (0.500, 0.500, 0.000)
Cu (0.000, 0.000, 0.500)
Cu (0.500, 0.500, 0.500)
Cl (0.000, 0.500, 0.040)
Cl (0.500, 0.000, 0.960)

***

[4]
First-principles (PBE) data for crystalline CuSClO at its relaxed geometry, as listed in Alexandria.

Properties
raw formation energy: -0.577 eV per atom
symmetry: P1, No. 1
theoretical density: 2949 kg/m³
distance to the lowest polymorph of the same formula: 0.0 meV per atom

abc: 6.866 8.006 3.374
angles: 83.48 72.85 69.14
Sites, in units of the cell vectors:
S (0.103, 0.538, 0.395)
S (0.501, 0.064, 0.154)
O (0.638, 0.878, 0.069)
O (0.577, 0.166, 0.368)
Cu (0.113, 0.801, 0.320)
Cu (0.877, 0.532, 0.032)
Cl (0.122, 0.984, 0.764)
Cl (0.666, 0.499, 0.668)

***

[5]
First-principles (PBE) data for crystalline CuSClO at its relaxed geometry, as listed in Alexandria.

Properties
raw formation energy: -0.571 eV per atom
symmetry: P1, No. 1
theoretical density: 2900 kg/m³
distance to the lowest polymorph of the same formula: 5.8 meV per atom

abc: 8.574 6.331 3.386
angles: 89.45 91.91 66.47
Sites, in units of the cell vectors:
S (0.141, 0.918, 0.903)
S (0.541, 0.112, 0.719)
O (0.416, 0.097, 0.431)
O (0.699, 0.910, 0.772)
Cu (0.911, 0.226, 0.879)
Cu (0.095, 0.717, 0.402)
Cl (0.726, 0.390, 0.359)
Cl (0.070, 0.493, 0.904)

***

[6]
First-principles (PBE) data for crystalline CuSCl2O at its relaxed geometry, as listed in Alexandria.

Properties
raw formation energy: 0.746 eV per atom
symmetry: P4/mmm, No. 123
theoretical density: 2967 kg/m³
distance to the lowest polymorph of the same formula: 0.0 meV per atom

abc: 4.758 4.758 4.512
angles: 90.00 90.00 90.00
Last column: magnetic moment on the atom in μB.
Sites, in units of the cell vectors:
S (0.000, 0.000, 0.500)  0.74
O (0.500, 0.500, 0.500)  -1.48
Cu (0.000, 0.000, 0.000)  0.12
Cl (0.000, 0.500, 0.000)  0.04
Cl (0.500, 0.000, 0.000)  0.04